The following is a PBE calculation of crystalline AlSiNi2 at its relaxed geometry, from the Alexandria database.

CIF file:
```
data_AlSiNi2
_chemical_formula_sum 'Al1 Si1 Ni2'
_cell_length_a 2.807
_cell_length_b 2.835
_cell_length_c 6.484
_cell_angle_alpha 64.39
_cell_angle_beta 90.00
_cell_angle_gamma 90.00
_symmetry_space_group_name_H-M 'P 1'
_symmetry_Int_Tables_number 1
_symmetry_space_group_name_Hall 'P 1'
loop_
_atom_site_label
_atom_site_fract_x
_atom_site_fract_y
_atom_site_fract_z
_atom_site_occupancy
Ni1 0.000 0.977 0.024 1
Ni2 0.000 0.523 0.476 1
Si1 0.500 0.250 0.250 1
Al1 0.500 0.750 0.750 1
```

Computed properties:
As for the space group: No. 10.


The following is a PBE calculation of crystalline Al2SiNi2 at its relaxed geometry, from the Alexandria database.

CIF file:
```
data_Al2SiNi2
_chemical_formula_sum 'Al4 Si2 Ni4'
_cell_length_a 3.891
_cell_length_b 4.035
_cell_length_c 8.522
_cell_angle_alpha 90.00
_cell_angle_beta 90.00
_cell_angle_gamma 90.00
_symmetry_space_group_name_H-M 'P 1'
_symmetry_Int_Tables_number 1
_symmetry_space_group_name_Hall 'P 1'
loop_
_atom_site_label
_atom_site_fract_x
_atom_site_fract_y
_atom_site_fract_z
_atom_site_occupancy
Ni1 0.250 0.250 0.508 1
Ni2 0.750 0.750 0.492 1
Ni3 0.750 0.750 0.175 1
Ni4 0.250 0.250 0.825 1
Al1 0.250 0.750 0.678 1
Al2 0.250 0.750 0.001 1
Al3 0.750 0.250 0.999 1
Al4 0.750 0.250 0.322 1
Si1 0.250 0.750 0.329 1
Si2 0.750 0.250 0.671 1
```

Computed properties:
As for the space group: No. 59. The calculation puts the energy above the most stable polymorph in this dataset at 29.9 meV per atom.


The following is a PBE calculation of crystalline AlSiNi5 at its relaxed geometry, from the Alexandria database.

CIF file:
```
data_AlSiNi5
_chemical_formula_sum 'Al2 Si2 Ni10'
_cell_length_a 4.857
_cell_length_b 4.857
_cell_length_c 8.923
_cell_angle_alpha 65.02
_cell_angle_beta 65.02
_cell_angle_gamma 71.33
_symmetry_space_group_name_H-M 'P 1'
_symmetry_Int_Tables_number 1
_symmetry_space_group_name_Hall 'P 1'
loop_
_atom_site_label
_atom_site_fract_x
_atom_site_fract_y
_atom_site_fract_z
_atom_site_occupancy
Al1 0.664 0.336 0.250 1
Al2 0.336 0.664 0.750 1
Ni1 0.494 0.253 0.994 1
Ni2 0.145 0.405 0.246 1
Ni3 0.086 0.914 0.250 1
Ni4 0.253 0.494 0.494 1
Ni5 0.747 0.506 0.506 1
Ni6 0.595 0.855 0.254 1
Ni7 0.506 0.747 0.006 1
Ni8 0.855 0.595 0.754 1
Ni9 0.914 0.086 0.750 1
Ni10 0.405 0.145 0.746 1
Si1 0.000 0.000 0.500 1
Si2 0.000 0.000 0.000 1
```

Computed properties:
As for the space group: No. 15. The calculation puts the energy above the most stable polymorph in this dataset at 107.9 meV per atom.


The following is a PBE calculation of crystalline Al2Si3Ni3 at its relaxed geometry, from the Alexandria database.

CIF file:
```
data_Al2Si3Ni3
_chemical_formula_sum 'Al2 Si3 Ni3'
_cell_length_a 6.819
_cell_length_b 6.819
_cell_length_c 2.610
_cell_angle_alpha 90.00
_cell_angle_beta 90.00
_cell_angle_gamma 120.00
_symmetry_space_group_name_H-M 'P 1'
_symmetry_Int_Tables_number 1
_symmetry_space_group_name_Hall 'P 1'
loop_
_atom_site_label
_atom_site_fract_x
_atom_site_fract_y
_atom_site_fract_z
_atom_site_occupancy
Ni1 0.337 0.000 0.500 1
Ni2 0.000 0.337 0.500 1
Ni3 0.663 0.663 0.500 1
Si1 0.215 0.215 0.000 1
Si2 0.785 0.000 0.000 1
Si3 0.000 0.785 0.000 1
Al1 0.667 0.333 0.000 1
Al2 0.333 0.667 0.000 1
```

Computed properties:
As for the space group: No. 189. The calculation puts the energy above the most stable polymorph in this dataset at 104.8 meV per atom.


The following is a PBE calculation of crystalline AlSiNi2 at its relaxed geometry, from the Alexandria database.

CIF file:
```
data_AlSiNi2
_chemical_formula_sum 'Al1 Si1 Ni2'
_cell_length_a 3.134
_cell_length_b 3.134
_cell_length_c 4.934
_cell_angle_alpha 90.00
_cell_angle_beta 90.00
_cell_angle_gamma 90.00
_symmetry_space_group_name_H-M 'P 1'
_symmetry_Int_Tables_number 1
_symmetry_space_group_name_Hall 'P 1'
loop_
_atom_site_label
_atom_site_fract_x
_atom_site_fract_y
_atom_site_fract_z
_atom_site_occupancy
Al1 0.500 0.500 0.778 1
Si1 0.000 0.000 0.462 1
Ni1 0.500 0.500 0.282 1
Ni2 0.000 0.000 0.978 1
```

Computed properties:
As for the space group: No. 99.


The following is a PBE calculation of crystalline AlSiNi at its relaxed geometry, from the Alexandria database.

CIF file:
```
data_AlSiNi
_chemical_formula_sum 'Al4 Si4 Ni4'
_cell_length_a 4.930
_cell_length_b 8.020
_cell_length_c 5.664
_cell_angle_alpha 134.72
_cell_angle_beta 90.00
_cell_angle_gamma 90.01
_symmetry_space_group_name_H-M 'P 1'
_symmetry_Int_Tables_number 1
_symmetry_space_group_name_Hall 'P 1'
loop_
_atom_site_label
_atom_site_fract_x
_atom_site_fract_y
_atom_site_fract_z
_atom_site_occupancy
Ni1 0.738 0.500 0.500 1
Ni2 0.738 0.000 0.500 1
Ni3 0.262 0.500 0.500 1
Ni4 0.262 0.000 0.500 1
Si1 0.500 0.349 0.999 1
Si2 0.500 0.651 0.001 1
Si3 0.500 0.151 0.301 1
Si4 0.500 0.849 0.699 1
Al1 0.000 0.815 0.999 1
Al2 0.000 0.319 0.638 1
Al3 0.000 0.185 0.001 1
Al4 0.000 0.681 0.362 1
```

Computed properties:
As for the space group: No. 10.


The following is a PBE calculation of crystalline Al2SiNi3 at its relaxed geometry, from the Alexandria database.

CIF file:
```
data_Al2SiNi3
_chemical_formula_sum 'Al2 Si1 Ni3'
_cell_length_a 4.917
_cell_length_b 4.917
_cell_length_c 3.942
_cell_angle_alpha 90.00
_cell_angle_beta 90.00
_cell_angle_gamma 120.00
_symmetry_space_group_name_H-M 'P 1'
_symmetry_Int_Tables_number 1
_symmetry_space_group_name_Hall 'P 1'
loop_
_atom_site_label
_atom_site_fract_x
_atom_site_fract_y
_atom_site_fract_z
_atom_site_occupancy
Ni1 0.500 0.000 0.500 1
Ni2 0.500 0.500 0.500 1
Ni3 0.000 0.500 0.500 1
Al1 0.333 0.667 0.000 1
Al2 0.667 0.333 0.000 1
Si1 0.000 0.000 0.000 1
```

Computed properties:
As for the space group: No. 191.


The following is a PBE calculation of crystalline Al2Si5Ni at its relaxed geometry, from the Alexandria database.

CIF file:
```
data_Al2Si5Ni
_chemical_formula_sum 'Al4 Si10 Ni2'
_cell_length_a 4.321
_cell_length_b 5.104
_cell_length_c 10.869
_cell_angle_alpha 90.00
_cell_angle_beta 90.00
_cell_angle_gamma 90.00
_symmetry_space_group_name_H-M 'P 1'
_symmetry_Int_Tables_number 1
_symmetry_space_group_name_Hall 'P 1'
loop_
_atom_site_label
_atom_site_fract_x
_atom_site_fract_y
_atom_site_fract_z
_atom_site_occupancy
Si1 0.500 0.422 0.893 1
Si2 0.500 0.922 0.607 1
Si3 0.000 0.017 0.724 1
Si4 0.000 0.517 0.776 1
Si5 0.500 0.578 0.107 1
Si6 0.000 0.000 0.000 1
Si7 0.000 0.500 0.500 1
Si8 0.000 0.983 0.276 1
Si9 0.000 0.483 0.224 1
Si10 0.500 0.078 0.393 1
Al1 0.500 0.074 0.144 1
Al2 0.500 0.426 0.644 1
Al3 0.500 0.574 0.356 1
Al4 0.500 0.926 0.856 1
Ni1 0.000 0.500 0.000 1
Ni2 0.000 0.000 0.500 1
```

Computed properties:
As for the space group: No. 55. The calculation puts the energy above the most stable polymorph in this dataset at 0.0 meV per atom.


The following is a PBE calculation of crystalline AlSiNi at its relaxed geometry, from the Alexandria database.

CIF file:
```
data_AlSiNi
_chemical_formula_sum 'Al4 Si4 Ni4'
_cell_length_a 5.059
_cell_length_b 8.259
_cell_length_c 5.845
_cell_angle_alpha 135.67
_cell_angle_beta 90.00
_cell_angle_gamma 90.00
_symmetry_space_group_name_H-M 'P 1'
_symmetry_Int_Tables_number 1
_symmetry_space_group_name_Hall 'P 1'
loop_
_atom_site_label
_atom_site_fract_x
_atom_site_fract_y
_atom_site_fract_z
_atom_site_occupancy
Al1 0.744 0.000 0.500 1
Al2 0.744 0.500 0.500 1
Al3 0.256 0.000 0.500 1
Al4 0.256 0.500 0.500 1
Si1 0.000 0.142 0.286 1
Si2 0.000 0.858 0.714 1
Si3 0.000 0.360 0.003 1
Si4 0.000 0.640 0.997 1
Ni1 0.500 0.167 0.335 1
Ni2 0.500 0.338 0.003 1
Ni3 0.500 0.662 0.997 1
Ni4 0.500 0.833 0.665 1
```

Computed properties:
As for the space group: No. 10.


The following is a PBE calculation of crystalline Al2SiNi2 at its relaxed geometry, from the Alexandria database.

CIF file:
```
data_Al2SiNi2
_chemical_formula_sum 'Al2 Si1 Ni2'
_cell_length_a 3.938
_cell_length_b 3.938
_cell_length_c 4.941
_cell_angle_alpha 90.00
_cell_angle_beta 90.00
_cell_angle_gamma 120.00
_symmetry_space_group_name_H-M 'P 1'
_symmetry_Int_Tables_number 1
_symmetry_space_group_name_Hall 'P 1'
loop_
_atom_site_label
_atom_site_fract_x
_atom_site_fract_y
_atom_site_fract_z
_atom_site_occupancy
Si1 0.000 0.000 0.000 1
Ni1 0.667 0.333 0.146 1
Ni2 0.333 0.667 0.854 1
Al1 0.333 0.667 0.354 1
Al2 0.667 0.333 0.646 1
```

Computed properties:
As for the space group: No. 164. The calculation puts the energy above the most stable polymorph in this dataset at 0.0 meV per atom.


The following is a PBE calculation of crystalline Al2SiNi2 at its relaxed geometry, from the Alexandria database.

CIF file:
```
data_Al2SiNi2
_chemical_formula_sum 'Al4 Si2 Ni4'
_cell_length_a 5.016
_cell_length_b 5.016
_cell_length_c 6.581
_cell_angle_alpha 69.19
_cell_angle_beta 69.19
_cell_angle_gamma 56.03
_symmetry_space_group_name_H-M 'P 1'
_symmetry_Int_Tables_number 1
_symmetry_space_group_name_Hall 'P 1'
loop_
_atom_site_label
_atom_site_fract_x
_atom_site_fract_y
_atom_site_fract_z
_atom_site_occupancy
Si1 0.627 0.373 0.750 1
Si2 0.373 0.627 0.250 1
Al1 0.750 0.025 0.461 1
Al2 0.025 0.750 0.961 1
Al3 0.250 0.975 0.539 1
Al4 0.975 0.250 0.039 1
Ni1 0.147 0.491 0.644 1
Ni2 0.491 0.147 0.144 1
Ni3 0.853 0.509 0.356 1
Ni4 0.509 0.853 0.856 1
```

Computed properties:
As for the space group: No. 15. The calculation puts the energy above the most stable polymorph in this dataset at 191.7 meV per atom.


Taking the records one at a time from the top gives energy relative to the elements, uncorrected values of -0.53, -0.53, -0.25, -0.20, -0.48, -0.39, -0.06, 0.15, -0.04, -0.56, -0.37 eV/atom.
Taking the records one at a time from the top gives mass density values of 6154, 4950, 6795, 4966, 5909, 4749, 5194, 3507, 4428, 4990, 5270 kg/m3.